# SrW2Au PBE relaxed
data_SrW2Au
_space_group_name_H-M_alt 'P 1'
_space_group_IT_number 1
_cell_length_a 4.787
_cell_length_b 4.787
_cell_length_c 6.721
_cell_angle_alpha 93.61
_cell_angle_beta 93.61
_cell_angle_gamma 33.83
loop_
_space_group_symop_operation_xyz
'x,y,z'
loop_
_atom_site_label
_atom_site_type_symbol
_atom_site_fract_x
_atom_site_fract_y
_atom_site_fract_z
Sr1 Sr 0.000 0.000 0.000
W1 W 0.516 0.516 0.477
W2 W 0.762 0.762 0.317
Au1 Au 0.251 0.251 0.700
# Energy above the lowest structure with this stoichiometry   0.3262 eV per atom
# N(E_F)   3.144 states/eV per cell
# DFT total energy   -6.964 eV/atom
# ΔH_f (0 K)   752 meV per atom

=====

# SrWAu2 PBE relaxed
data_SrWAu2
_space_group_name_H-M_alt 'P 1'
_space_group_IT_number 1
_cell_length_a 2.953
_cell_length_b 3.975
_cell_length_c 7.212
_cell_angle_alpha 90.00
_cell_angle_beta 90.00
_cell_angle_gamma 90.00
loop_
_space_group_symop_operation_xyz
'x,y,z'
loop_
_atom_site_label
_atom_site_type_symbol
_atom_site_fract_x
_atom_site_fract_y
_atom_site_fract_z
Sr1 Sr 0.000 0.000 0.000
W1 W 0.000 0.000 0.500
Au1 Au 0.500 0.500 0.303
Au2 Au 0.500 0.500 0.697
# Energy above the lowest structure with this stoichiometry   0.0000 eV per atom
# N(E_F)   4.029 states/eV per cell
# DFT total energy   -5.035 eV/atom
# ΔH_f (0 K)   262 meV per atom